# 1
First-principles (PBE-GGA) data for a geometry-optimized Ti6H2NO structure, as listed in Alexandria.

The structure in CIF format:
```
data_Ti6H2NO
_cell_length_a 5.110
_cell_length_b 5.153
_cell_length_c 5.585
_cell_angle_alpha 64.62
_cell_angle_beta 64.33
_cell_angle_gamma 61.87
_space_group_name_H-M_alt 'P 1'
_space_group_IT_number 1
loop_
_space_group_symop_operation_xyz
'x,y,z'
loop_
_atom_site_label
_atom_site_type_symbol
_atom_site_fract_x
_atom_site_fract_y
_atom_site_fract_z
_atom_site_occupancy
Ti1 Ti 0.578 0.228 0.270 1
Ti2 Ti 0.228 0.936 0.255 1
Ti3 Ti 0.920 0.594 0.240 1
Ti4 Ti 0.438 0.729 0.760 1
Ti5 Ti 0.740 0.071 0.766 1
Ti6 Ti 0.086 0.430 0.738 1
H1 H 0.491 0.520 0.485 1
H2 H 0.018 0.993 0.986 1
N1 N 0.833 0.829 0.507 1
O1 O 0.330 0.332 0.007 1
```

Values from the calculation:
* D(E_F): 0.76 states/eV/atom
* total DFT energy (no corrections): -7.79 eV/atom

# 2
First-principles (PBE-GGA) data for a geometry-optimized Ti6HNO structure, as listed in Alexandria.

The structure in CIF format:
```
data_Ti6HNO
_cell_length_a 4.935
_cell_length_b 4.935
_cell_length_c 9.184
_cell_angle_alpha 90.00
_cell_angle_beta 90.00
_cell_angle_gamma 90.00
_space_group_name_H-M_alt 'P 1'
_space_group_IT_number 1
loop_
_space_group_symop_operation_xyz
'x,y,z'
loop_
_atom_site_label
_atom_site_type_symbol
_atom_site_fract_x
_atom_site_fract_y
_atom_site_fract_z
_atom_site_occupancy
Ti1 Ti 0.207 0.793 0.490 1
Ti2 Ti 0.793 0.207 0.490 1
Ti3 Ti 0.293 0.293 0.990 1
Ti4 Ti 0.707 0.707 0.990 1
Ti5 Ti 0.213 0.787 0.169 1
Ti6 Ti 0.787 0.213 0.169 1
Ti7 Ti 0.287 0.287 0.669 1
Ti8 Ti 0.713 0.713 0.669 1
Ti9 Ti 0.790 0.210 0.841 1
Ti10 Ti 0.210 0.790 0.841 1
Ti11 Ti 0.710 0.710 0.341 1
Ti12 Ti 0.290 0.290 0.341 1
H1 H 0.500 0.500 0.168 1
H2 H 0.000 0.000 0.668 1
N1 N 0.500 0.500 0.827 1
N2 N 0.000 0.000 0.327 1
O1 O 0.500 0.500 0.505 1
O2 O 0.000 0.000 0.005 1
```

Values from the calculation:
* D(E_F): 0.79 states/eV/atom
* total DFT energy (no corrections): -8.25 eV/atom

# 3
First-principles (PBE-GGA) data for a geometry-optimized TiHNO2 structure, as listed in Alexandria.

The structure in CIF format:
```
data_TiHNO2
_cell_length_a 3.807
_cell_length_b 3.807
_cell_length_c 4.266
_cell_angle_alpha 90.00
_cell_angle_beta 90.00
_cell_angle_gamma 90.00
_space_group_name_H-M_alt 'P 1'
_space_group_IT_number 1
loop_
_space_group_symop_operation_xyz
'x,y,z'
loop_
_atom_site_label
_atom_site_type_symbol
_atom_site_fract_x
_atom_site_fract_y
_atom_site_fract_z
_atom_site_occupancy
H1 H 0.500 0.500 0.500 1
N1 N 0.000 0.000 0.500 1
O1 O 0.000 0.500 0.000 1
O2 O 0.500 0.000 0.000 1
Ti1 Ti 0.000 0.000 0.000 1
```

Values from the calculation:
* D(E_F): 0.41 states/eV/atom
* total DFT energy (no corrections): -6.09 eV/atom

# 4
First-principles (PBE-GGA) data for a geometry-optimized Ti6HN3O2 structure, as listed in Alexandria.

The structure in CIF format:
```
data_Ti6HN3O2
_cell_length_a 5.249
_cell_length_b 5.249
_cell_length_c 5.170
_cell_angle_alpha 99.83
_cell_angle_beta 99.83
_cell_angle_gamma 120.12
_space_group_name_H-M_alt 'P 1'
_space_group_IT_number 1
loop_
_space_group_symop_operation_xyz
'x,y,z'
loop_
_atom_site_label
_atom_site_type_symbol
_atom_site_fract_x
_atom_site_fract_y
_atom_site_fract_z
_atom_site_occupancy
Ti1 Ti 0.912 0.583 0.734 1
Ti2 Ti 0.757 0.757 0.262 1
Ti3 Ti 0.088 0.417 0.266 1
Ti4 Ti 0.583 0.912 0.734 1
Ti5 Ti 0.243 0.243 0.738 1
Ti6 Ti 0.417 0.088 0.266 1
H1 H 0.000 0.000 0.000 1
N1 N 0.168 0.832 0.500 1
N2 N 0.832 0.168 0.500 1
N3 N 0.500 0.500 0.500 1
O1 O 0.334 0.666 0.000 1
O2 O 0.666 0.334 0.000 1
```

Values from the calculation:
* D(E_F): 0.48 states/eV/atom
* total DFT energy (no corrections): -8.92 eV/atom